Sr2MnZnO5 | PBE with a Hubbard U | optimized geometry

The calculation puts the electronic total energy at -219.662 eV per cell. The crystal system is orthorhombic.

It has space group Cmc2_1 (No. 36), with a = 3.2579 Å, b = 14.1466 Å, c = 10.6341 Å, α = 90.00°, β = 90.00° and γ = 90.00°. The distinct sites, in fractional coordinates, are Sr at (0.0000, 0.0932, 0.0000), Sr at (0.0000, 0.1331, 0.6393), Mn at (0.0000, 0.2204, 0.3603), Zn at (0.0000, 0.4420, 0.7840), O at (0.0000, 0.0787, 0.3870), O at (0.0000, 0.2711, 0.9805), O at (0.0000, 0.2958, 0.7450), O at (0.0000, 0.3521, 0.3331) and O at (0.0000, 0.5002, 0.1226).